(1)
Computed, not measured: crystalline K2RbVF5 at its relaxed geometry at the PBE+U level of DFT.

The total energy comes out at -4.964 eV/atom.

The space group is Immm (No. 71) and the conventional cell measures 4.186, 6.284 and 12.514 Å, with angles of 90.00, 90.00 and 90.00 degrees. The inequivalent atoms are K at (0.000, 0.000, 0.214), Rb at (0.000, 0.500, 0.000), V at (0.000, 0.500, 0.500), F at (0.000, 0.000, 0.000) and F at (0.000, 0.267, 0.376).


(2)
Computed, not measured: crystalline K4RbV3F12 at its relaxed geometry at the PBE+U level of DFT.

The total energy comes out at -5.220 eV/atom.

The space group is Im-3m (No. 229) and the conventional cell measures 8.808, 8.808 and 8.808 Å, with angles of 90.00, 90.00 and 90.00 degrees. The inequivalent atoms are K at (0.250, 0.250, 0.250), Rb at (0.000, 0.000, 0.000), V at (0.000, 0.000, 0.500), F at (0.000, 0.000, 0.280) and F at (0.000, 0.250, 0.500).


(3)
Computed, not measured: crystalline KRbVF4 at its relaxed geometry at the PBE+U level of DFT.

The total energy comes out at -5.182 eV/atom.

The space group is I4mm (No. 107) and the conventional cell measures 4.229, 4.229 and 13.744 Å, with angles of 90.00, 90.00 and 90.00 degrees. The inequivalent atoms are K at (0.000, 0.000, 0.000), Rb at (0.000, 0.000, 0.707), V at (0.000, 0.000, 0.355), F at (0.000, 0.000, 0.199), F at (0.000, 0.000, 0.509) and F at (0.000, 0.500, 0.358).


What did the second record say?
Computed, not measured: crystalline K4RbV3F12 at its relaxed geometry at the PBE+U level of DFT.

The total energy comes out at -5.220 eV/atom.

The space group is Im-3m (No. 229) and the conventional cell measures 8.808, 8.808 and 8.808 Å, with angles of 90.00, 90.00 and 90.00 degrees. The inequivalent atoms are K at (0.250, 0.250, 0.250), Rb at (0.000, 0.000, 0.000), V at (0.000, 0.000, 0.500), F at (0.000, 0.000, 0.280) and F at (0.000, 0.250, 0.500).